Material: K3Co2RhO6
Method: DFT, PBE with a Hubbard U
State: optimized geometry

Cell lengths 5.3477, 5.3477, 6.0915 Å; angles 98.42, 98.42, 120.00 degrees
Element x y z (fractional)
K  0.0000  0.0000  0.0000
K  0.3356  0.6644  0.0000
K  0.6644  0.3356  0.0000
Co  0.1667  0.8333  0.5000
Co  0.8333  0.1667  0.5000
Rh  0.5000  0.5000  0.5000
O  0.0991  0.4446  0.3340
O  0.2097  0.2097  0.6653
O  0.4446  0.0991  0.3340
O  0.5554  0.9009  0.6660
O  0.7903  0.7903  0.3347
O  0.9009  0.5554  0.6660

Properties
For the electronic total energy, the calculation gives -5.292 eV per atom.